(w)
A plane-wave DFT calculation with PBE was carried out for a geometry-optimized LiTi2P3O12 structure.

## Properties
Magnetic moment ... 0.000 μB per formula unit
Space-group type ... P2_12_12 (18)

Cell: 8.7151 12.0907 8.6459 Å, 90.00 90.00 90.00°
With the nearest neighbours (Å) after each atom.
Sites, in units of the cell vectors:
1 Li 0.0269 0.1809 0.4622  4 O 1.96-2.04
2 Li 0.4731 0.6809 0.5378  4 O 1.96-2.04
3 Li 0.5269 0.3191 0.5378  4 O 1.96-2.04
4 Li 0.9731 0.8191 0.4622  4 O 1.96-2.04
5 Ti 0.2114 0.3889 0.4976  6 O 1.88-2.06
6 Ti 0.2177 0.1197 0.9991  6 O 1.92-1.98
7 Ti 0.2823 0.6197 0.0009  6 O 1.92-1.98
8 Ti 0.2886 0.8889 0.5024  6 O 1.88-2.06
9 Ti 0.7114 0.1111 0.5024  6 O 1.88-2.06
10 Ti 0.7177 0.3803 0.0009  6 O 1.92-1.98
11 Ti 0.7823 0.8803 0.9991  6 O 1.92-1.98
12 Ti 0.7886 0.6111 0.4976  6 O 1.88-2.06
13 P 0.0000 0.0000 0.7161  4 O 1.52-1.57
14 P 0.0000 0.5000 0.2108  4 O 1.52-1.56
15 P 0.1414 0.8567 0.1425  4 O 1.53-1.57
16 P 0.1419 0.6474 0.6454  4 O 1.52-1.56
17 P 0.3581 0.1474 0.3546  4 O 1.52-1.56
18 P 0.3586 0.3567 0.8575  4 O 1.53-1.57
19 P 0.5000 0.0000 0.7892  4 O 1.52-1.56
20 P 0.5000 0.5000 0.2839  4 O 1.52-1.57
21 P 0.6414 0.6433 0.8575  4 O 1.53-1.57
22 P 0.6419 0.8526 0.3546  4 O 1.52-1.56
23 P 0.8581 0.3526 0.6454  4 O 1.52-1.56
24 P 0.8586 0.1433 0.1425  4 O 1.53-1.57
25 O 0.0215 0.3212 0.5892  1 P 1.55
26 O 0.0285 0.1652 0.1009  1 P 1.55
27 O 0.0928 0.9232 0.6034  1 P 1.57
28 O 0.0991 0.5751 0.1114  1 P 1.52
29 O 0.1015 0.4258 0.3167  1 P 1.56
30 O 0.1039 0.0747 0.8112  1 P 1.52
31 O 0.1521 0.6531 0.8204  1 P 1.52
32 O 0.1520 0.8496 0.3231  1 P 1.57
33 O 0.1806 0.5291 0.5860  1 P 1.56
34 O 0.1923 0.9707 0.0857  1 P 1.53
35 O 0.2398 0.2270 0.4299  1 P 1.55
36 O 0.2482 0.7680 0.0734  1 P 1.54
37 O 0.2518 0.2680 0.9266  1 P 1.54
38 O 0.2602 0.7270 0.5701  1 P 1.55
39 O 0.3077 0.4707 0.9143  1 P 1.53
40 O 0.3194 0.0291 0.4140  1 P 1.56
41 O 0.3479 0.1531 0.1796  1 P 1.52
42 O 0.3480 0.3496 0.6769  1 P 1.57
43 O 0.3961 0.5747 0.1888  1 P 1.52
44 O 0.3985 0.9258 0.6833  1 P 1.56
45 O 0.4009 0.0751 0.8886  1 P 1.52
46 O 0.4072 0.4232 0.3966  1 P 1.57
47 O 0.4715 0.6652 0.8991  1 P 1.55
48 O 0.4785 0.8212 0.4108  1 P 1.55
49 O 0.5215 0.1788 0.4108  1 P 1.55
50 O 0.5285 0.3348 0.8991  1 P 1.55
51 O 0.5928 0.5768 0.3966  1 P 1.57
52 O 0.5991 0.9249 0.8886  1 P 1.52
53 O 0.6015 0.0742 0.6833  1 P 1.56
54 O 0.6039 0.4253 0.1888  1 P 1.52
55 O 0.6520 0.6504 0.6769  1 P 1.57
56 O 0.6521 0.8469 0.1796  1 P 1.52
57 O 0.6806 0.9709 0.4140  1 P 1.56
58 O 0.6923 0.5293 0.9143  1 P 1.53
59 O 0.7398 0.2730 0.5701  1 P 1.55
60 O 0.7482 0.7320 0.9266  1 P 1.54
61 O 0.7518 0.2320 0.0734  1 P 1.54
62 O 0.7602 0.7730 0.4299  1 P 1.55
63 O 0.8077 0.0293 0.0857  1 P 1.53
64 O 0.8194 0.4709 0.5860  1 P 1.56
65 O 0.8480 0.1504 0.3231  1 P 1.57
66 O 0.8479 0.3469 0.8204  1 P 1.52
67 O 0.8961 0.9253 0.8112  1 P 1.52
68 O 0.8985 0.5742 0.3167  1 P 1.56
69 O 0.9009 0.4249 0.1114  1 P 1.52
70 O 0.9072 0.0768 0.6034  1 P 1.57
71 O 0.9715 0.8348 0.1009  1 P 1.55
72 O 0.9785 0.6788 0.5892  1 P 1.55

(x)
A plane-wave DFT calculation with PBE was carried out for a geometry-optimized LiTi2P3O12 structure.

## Properties
Magnetic moment ... 0.000 μB per formula unit
Space-group type ... Pna2_1 (33)

Cell: 8.7088 8.6566 12.0769 Å, 90.00 90.00 90.00°
With the nearest neighbours (Å) after each atom.
Sites, in units of the cell vectors:
1 Li 0.2236 0.0310 0.0000  4 O 1.98-2.02
2 Li 0.2764 0.5310 0.5000  4 O 1.98-2.02
3 Li 0.7236 0.4690 0.0000  4 O 1.98-2.02
4 Li 0.7764 0.9690 0.5000  4 O 1.98-2.02
5 Ti 0.0244 0.9977 0.2031  6 O 1.89-2.05
6 Ti 0.0455 0.5059 0.9347  6 O 1.89-2.07
7 Ti 0.4545 0.0059 0.4347  6 O 1.89-2.07
8 Ti 0.4756 0.4977 0.7031  6 O 1.89-2.05
9 Ti 0.5244 0.5023 0.2031  6 O 1.89-2.05
10 Ti 0.5455 0.9941 0.9347  6 O 1.89-2.07
11 Ti 0.9545 0.4941 0.4347  6 O 1.89-2.07
12 Ti 0.9756 0.0023 0.7031  6 O 1.89-2.05
13 P 0.1064 0.8531 0.4620  4 O 1.54-1.55
14 P 0.1085 0.3604 0.6716  4 O 1.54-1.55
15 P 0.2466 0.2865 0.3159  4 O 1.52-1.55
16 P 0.2534 0.7865 0.8159  4 O 1.52-1.55
17 P 0.3915 0.8604 0.1716  4 O 1.54-1.55
18 P 0.3936 0.3531 0.9620  4 O 1.54-1.55
19 P 0.6064 0.6469 0.4620  4 O 1.54-1.55
20 P 0.6085 0.1396 0.6716  4 O 1.54-1.55
21 P 0.7466 0.2135 0.3159  4 O 1.52-1.55
22 P 0.7534 0.7135 0.8159  4 O 1.52-1.55
23 P 0.8915 0.6396 0.1716  4 O 1.54-1.55
24 P 0.8936 0.1469 0.9620  4 O 1.54-1.55
25 O 0.0016 0.5689 0.0850  1 P 1.55
26 O 0.0094 0.0740 0.0443  1 P 1.55
27 O 0.0579 0.9102 0.3460  1 P 1.54
28 O 0.0664 0.4182 0.7881  1 P 1.54
29 O 0.0931 0.1827 0.6654  1 P 1.55
30 O 0.1014 0.6758 0.4696  1 P 1.54
31 O 0.1446 0.1834 0.2450  1 P 1.52
32 O 0.1471 0.6892 0.8921  1 P 1.55
33 O 0.1540 0.8893 0.7396  1 P 1.55
34 O 0.1576 0.3961 0.3936  1 P 1.54
35 O 0.2249 0.9090 0.1421  1 P 1.55
36 O 0.2270 0.4035 0.9865  1 P 1.54
37 O 0.2730 0.9035 0.4865  1 P 1.54
38 O 0.2751 0.4090 0.6421  1 P 1.55
39 O 0.3424 0.8961 0.8936  1 P 1.54
40 O 0.3460 0.3893 0.2396  1 P 1.55
41 O 0.3529 0.1892 0.3921  1 P 1.55
42 O 0.3554 0.6834 0.7450  1 P 1.52
43 O 0.3986 0.1758 0.9696  1 P 1.54
44 O 0.4069 0.6827 0.1654  1 P 1.55
45 O 0.4336 0.9182 0.2881  1 P 1.54
46 O 0.4421 0.4102 0.8460  1 P 1.54
47 O 0.4906 0.5740 0.5443  1 P 1.55
48 O 0.4984 0.0689 0.5850  1 P 1.55
49 O 0.5016 0.9311 0.0850  1 P 1.55
50 O 0.5094 0.4260 0.0443  1 P 1.55
51 O 0.5579 0.5898 0.3460  1 P 1.54
52 O 0.5664 0.0818 0.7881  1 P 1.54
53 O 0.5931 0.3173 0.6654  1 P 1.55
54 O 0.6014 0.8242 0.4696  1 P 1.54
55 O 0.6446 0.3166 0.2450  1 P 1.52
56 O 0.6471 0.8108 0.8921  1 P 1.55
57 O 0.6540 0.6107 0.7396  1 P 1.55
58 O 0.6576 0.1039 0.3936  1 P 1.54
59 O 0.7249 0.5910 0.1421  1 P 1.55
60 O 0.7270 0.0965 0.9865  1 P 1.54
61 O 0.7730 0.5965 0.4865  1 P 1.54
62 O 0.7751 0.0910 0.6421  1 P 1.55
63 O 0.8424 0.6039 0.8936  1 P 1.54
64 O 0.8460 0.1107 0.2396  1 P 1.55
65 O 0.8529 0.3108 0.3921  1 P 1.55
66 O 0.8554 0.8166 0.7450  1 P 1.52
67 O 0.8986 0.3242 0.9696  1 P 1.54
68 O 0.9069 0.8173 0.1654  1 P 1.55
69 O 0.9336 0.5818 0.2881  1 P 1.54
70 O 0.9421 0.0898 0.8460  1 P 1.54
71 O 0.9906 0.9260 0.5443  1 P 1.55
72 O 0.9984 0.4311 0.5850  1 P 1.55

Going by the energies, (x) is most stable and the next is 7 meV per atom up.

(w)
A plane-wave DFT calculation with PBE was carried out for a geometry-optimized Li3Ti2P3O12 structure.

## Properties
Magnetic moment ... 2.000 μB per formula unit
Space-group type ... P2/c (13)

Cell: 8.5082 8.8592 12.4975 Å, 90.00 93.10 90.00°
With the nearest neighbours (Å) after each atom.
Sites, in units of the cell vectors:
1 Li 0.0000 0.0000 0.0000  6 O 2.23-2.26
2 Li 0.0000 0.0000 0.5000  6 O 2.23-2.26
3 Li 0.0000 0.1006 0.2500  4 O 2.13-2.17
4 Li 0.0000 0.8994 0.7500  4 O 2.13-2.17
5 Li 0.2462 0.1890 0.9382  4 O 2.07-2.19
6 Li 0.2462 0.8110 0.4382  4 O 2.07-2.19
7 Li 0.5000 0.3967 0.2500  4 O 2.12-2.15
8 Li 0.5000 0.5000 0.0000  6 O 2.26-2.36
9 Li 0.5000 0.5000 0.5000  6 O 2.26-2.36
10 Li 0.5000 0.6033 0.7500  4 O 2.12-2.15
11 Li 0.7538 0.1890 0.5618  4 O 2.07-2.19
12 Li 0.7538 0.8110 0.0618  4 O 2.07-2.19
13 Ti 0.2120 0.4951 0.3548  6 O 1.95-2.10
14 Ti 0.2120 0.5049 0.8548  6 O 1.95-2.10
15 Ti 0.2860 0.0048 0.6449  6 O 1.95-2.14
16 Ti 0.2860 0.9952 0.1449  6 O 1.95-2.14
17 Ti 0.7140 0.0048 0.8551  6 O 1.95-2.14
18 Ti 0.7140 0.9952 0.3551  6 O 1.95-2.14
19 Ti 0.7880 0.4951 0.1452  6 O 1.95-2.10
20 Ti 0.7880 0.5049 0.6452  6 O 1.95-2.10
21 P 0.0000 0.2010 0.7500  4 O 1.54-1.57
22 P 0.0000 0.7990 0.2500  4 O 1.54-1.57
23 P 0.1594 0.3558 0.1040  4 O 1.53-1.57
24 P 0.1594 0.6442 0.6040  4 O 1.53-1.57
25 P 0.3423 0.1408 0.3942  4 O 1.54-1.56
26 P 0.3423 0.8592 0.8942  4 O 1.54-1.56
27 P 0.5000 0.2986 0.7500  4 O 1.54-1.56
28 P 0.5000 0.7014 0.2500  4 O 1.54-1.56
29 P 0.6577 0.1408 0.1058  4 O 1.54-1.56
30 P 0.6577 0.8592 0.6058  4 O 1.54-1.56
31 P 0.8406 0.3558 0.3960  4 O 1.53-1.57
32 P 0.8406 0.6442 0.8960  4 O 1.53-1.57
33 O 0.0083 0.4179 0.3932  1 P 1.53
34 O 0.0083 0.5821 0.8932  1 P 1.53
35 O 0.0630 0.0937 0.6623  1 P 1.57
36 O 0.0630 0.9063 0.1623  1 P 1.57
37 O 0.1288 0.2952 0.8096  1 P 1.54
38 O 0.1288 0.7048 0.3096  1 P 1.54
39 O 0.1434 0.1802 0.0887  1 P 1.57
40 O 0.1434 0.8198 0.5887  1 P 1.57
41 O 0.2517 0.0956 0.2875  1 P 1.56
42 O 0.2517 0.9044 0.7875  1 P 1.56
43 O 0.2529 0.4094 0.0076  1 P 1.55
44 O 0.2529 0.5906 0.5076  1 P 1.55
45 O 0.2551 0.0507 0.4808  1 P 1.56
46 O 0.2548 0.3993 0.2081  1 P 1.54
47 O 0.2548 0.6007 0.7081  1 P 1.54
48 O 0.2551 0.9493 0.9808  1 P 1.56
49 O 0.3398 0.3134 0.4140  1 P 1.55
50 O 0.3398 0.6866 0.9140  1 P 1.55
51 O 0.3756 0.1986 0.6913  1 P 1.54
52 O 0.3756 0.8014 0.1913  1 P 1.54
53 O 0.4319 0.4054 0.8357  1 P 1.56
54 O 0.4319 0.5946 0.3357  1 P 1.56
55 O 0.4831 0.0965 0.1077  1 P 1.54
56 O 0.4831 0.9035 0.6077  1 P 1.54
57 O 0.5169 0.0965 0.3923  1 P 1.54
58 O 0.5169 0.9035 0.8923  1 P 1.54
59 O 0.5681 0.4054 0.6643  1 P 1.56
60 O 0.5681 0.5946 0.1643  1 P 1.56
61 O 0.6244 0.1986 0.8087  1 P 1.54
62 O 0.6244 0.8014 0.3087  1 P 1.54
63 O 0.6602 0.3134 0.0860  1 P 1.55
64 O 0.6602 0.6866 0.5860  1 P 1.55
65 O 0.7449 0.0507 0.0192  1 P 1.56
66 O 0.7452 0.3993 0.2919  1 P 1.54
67 O 0.7452 0.6007 0.7919  1 P 1.54
68 O 0.7449 0.9493 0.5192  1 P 1.56
69 O 0.7471 0.4094 0.4924  1 P 1.55
70 O 0.7471 0.5906 0.9924  1 P 1.55
71 O 0.7483 0.0956 0.2125  1 P 1.56
72 O 0.7483 0.9044 0.7125  1 P 1.56
73 O 0.8566 0.1802 0.4113  1 P 1.57
74 O 0.8566 0.8198 0.9113  1 P 1.57
75 O 0.8712 0.2952 0.6904  1 P 1.54
76 O 0.8712 0.7048 0.1904  1 P 1.54
77 O 0.9370 0.0937 0.8377  1 P 1.57
78 O 0.9370 0.9063 0.3377  1 P 1.57
79 O 0.9917 0.4179 0.1068  1 P 1.53
80 O 0.9917 0.5821 0.6068  1 P 1.53

(x)
A plane-wave DFT calculation with PBE was carried out for a geometry-optimized Li3Ti2P3O12 structure.

## Properties
Magnetic moment ... 0.977 μB per formula unit
Space-group type ... C2/m (12)

Cell: 4.9662 4.9662 18.5360 Å, 90.39 90.39 67.20°
With the nearest neighbours (Å) after each atom.
Sites, in units of the cell vectors:
1 Li 0.0019 0.0019 0.3296  6 O 2.07-2.31
2 Li 0.3303 0.3303 0.5909  4 O 1.91-2.11
3 Li 0.3337 0.3337 0.2544  4 O 1.95-2.14
4 Li 0.6663 0.6663 0.7456  4 O 1.95-2.14
5 Li 0.6697 0.6697 0.4091  4 O 1.91-2.11
6 Li 0.9981 0.9981 0.6704  6 O 2.07-2.31
7 Ti 0.0000 0.0000 0.0000  6 O 1.97-2.13
8 Ti 0.0000 0.0000 0.5000  6 O 2.02-2.09
9 Ti 0.0011 0.0011 0.1597  6 O 1.94-2.11
10 Ti 0.9989 0.9989 0.8403  6 O 1.94-2.11
11 P 0.3448 0.3448 0.7566  4 O 1.52-1.58
12 P 0.3479 0.3479 0.0818  4 O 1.53-1.57
13 P 0.3502 0.3502 0.4200  4 O 1.51-1.58
14 P 0.6498 0.6498 0.5800  4 O 1.51-1.58
15 P 0.6521 0.6521 0.9182  4 O 1.53-1.57
16 P 0.6552 0.6552 0.2434  4 O 1.52-1.58
17 O 0.2278 0.6912 0.0804  1 P 1.57
18 O 0.2298 0.2298 0.8222  1 P 1.55
19 O 0.2322 0.6886 0.7613  1 P 1.58
20 O 0.2363 0.2363 0.0158  1 P 1.53
21 O 0.2387 0.6942 0.4229  1 P 1.58
22 O 0.2432 0.2432 0.4889  1 P 1.56
23 O 0.2480 0.2480 0.1518  1 P 1.54
24 O 0.2480 0.2480 0.3520  1 P 1.51
25 O 0.2479 0.2479 0.6868  1 P 1.52
26 O 0.3058 0.7613 0.5771  1 P 1.58
27 O 0.3088 0.7722 0.9196  1 P 1.57
28 O 0.3114 0.7678 0.2387  1 P 1.58
29 O 0.6886 0.2322 0.7613  1 P 1.58
30 O 0.6912 0.2278 0.0804  1 P 1.57
31 O 0.6942 0.2387 0.4229  1 P 1.58
32 O 0.7521 0.7521 0.3132  1 P 1.52
33 O 0.7520 0.7520 0.6480  1 P 1.51
34 O 0.7520 0.7520 0.8482  1 P 1.54
35 O 0.7568 0.7568 0.5111  1 P 1.56
36 O 0.7613 0.3058 0.5771  1 P 1.58
37 O 0.7637 0.7637 0.9842  1 P 1.53
38 O 0.7678 0.3114 0.2387  1 P 1.58
39 O 0.7702 0.7702 0.1778  1 P 1.55
40 O 0.7722 0.3088 0.9196  1 P 1.57

Going by the energies, (x) is most stable and the next is 17 meV per atom up.